The following is a PBE calculation of an optimized crystal structure of ScTlZnO3, from OQMD.

Properties
Final energy = -5.295 eV per atom
Total magnetization = 0.03 μB/cell

Cell lengths 3.213, 15.641, 7.424 Å; angles 90.00, 90.00, 90.00 degrees
Space group Cmcm (No. 63)
Inequivalent atoms, fractional coordinates:
Sc 0.000 0.000 0.000 (multiplicity 4)
Tl 0.000 0.365 0.250 (multiplicity 4)
Zn 0.000 0.347 0.750 (multiplicity 4)
O 0.000 0.116 0.078 (multiplicity 8)
O 0.000 0.225 0.750 (multiplicity 4)

The following is a PBE calculation of an optimized crystal structure of TmScO3, from OQMD.

Properties
Final energy = -8.112 eV per atom
Total magnetization = 0.00 μB/cell

Cell lengths 3.958, 3.958, 3.958 Å; angles 90.00, 90.00, 90.00 degrees
Space group Pm-3m (No. 221)
Inequivalent atoms, fractional coordinates:
Tm 0.000 0.000 0.000 (multiplicity 1)
Sc 0.500 0.500 0.500 (multiplicity 1)
O 0.000 0.500 0.500 (multiplicity 3)